First-principles (PBEsol) data for an optimized crystal structure of MgSc, as listed in Alexandria via LeMat-Bulk.

Fermi-level density of states, states/eV/f.u.: 2.72
Symmetry: Imma (74)
E_form, eV/f.u.: 0.0
Magnetization, μB per cell: 0.8

Lattice parameters (Å, degrees): 6.0373 6.0373 6.0373 147.25 129.06 61.89
With the nearest neighbours (Å) after each atom.
Positions (direct):
Mg  0.3844  0.1344  0.2500  2 Mg 2.94, 6 Sc 3.11-3.13
Mg  0.6156  0.8656  0.7500  2 Mg 2.94, 6 Sc 3.11-3.13
Sc  0.1312  0.3812  0.7500  6 Mg 3.11-3.13, 4 Sc 3.21-3.40
Sc  0.8688  0.6188  0.2500  6 Mg 3.11-3.13, 4 Sc 3.21-3.40

---

First-principles (PBEsol) data for an optimized crystal structure of BaIr2Rh, as listed in Alexandria via LeMat-Bulk.

Energy relative to the lowest polymorph listed for this composition, eV/atom: 0.000
Fermi-level density of states, states/eV/f.u.: 6.37
Symmetry: R3m (160)
E_form, eV/f.u.: 0.2
Magnetization, μB per cell: 0.0

Lattice parameters (Å, degrees): 6.1214 6.1214 6.1214 42.31 42.31 42.31
With the nearest neighbours (Å) after each atom.
Positions (direct):
Ba  0.0000  0.0000  0.0000  1 Rh 3.01, 1 Ir 3.04
Ir  0.4962  0.4962  0.4962  3 Ir 2.56, 3 Rh 2.57
Ir  0.8176  0.8176  0.8176  3 Ir 2.56, 3 Rh 2.60
Rh  0.1805  0.1805  0.1805  6 Ir 2.57-2.60

---

First-principles (PBEsol) data for an optimized crystal structure of K3LiZn, as listed in Alexandria via LeMat-Bulk.

Fermi-level density of states, states/eV/f.u.: 4.07
Symmetry: Pm-3m (221)
E_form, eV/f.u.: 2.1
Magnetization, μB per cell: 0.0

Lattice parameters (Å, degrees): 6.6313 6.6313 6.6313 90.00 90.00 90.00
With the nearest neighbours (Å) after each atom.
Positions (direct):
K  0.0000  0.0000  0.5000  2 Li 3.32
K  0.0000  0.5000  0.0000  2 Li 3.32
K  0.5000  0.0000  0.0000  2 Li 3.32
Li  0.0000  0.0000  0.0000  6 K 3.32
Zn  0.5000  0.5000  0.5000  12 K 4.69

---

First-principles (PBEsol) data for an optimized crystal structure of CoNi3Cl, as listed in Alexandria via LeMat-Bulk.

Raw formation energy, eV per formula unit: 4.120
Energy relative to the lowest polymorph listed for this composition, eV/atom: 0.000
Fermi-level density of states, states/eV/f.u.: 4.31
Symmetry: Pm-3m (221)
Magnetization, μB per cell: 2.1

Lattice parameters (Å, degrees): 4.0216 4.0216 4.0216 90.00 90.00 90.00
With the nearest neighbours (Å) after each atom.
Positions (direct):
Co  0.0000  0.0000  0.0000  12 Ni 2.84
Ni  0.0000  0.5000  0.5000  2 Cl 2.01
Ni  0.5000  0.0000  0.5000  2 Cl 2.01
Ni  0.5000  0.5000  0.0000  2 Cl 2.01
Cl  0.5000  0.5000  0.5000  6 Ni 2.01

---

First-principles (PBEsol) data for an optimized crystal structure of CuReSe2N, as listed in Alexandria via LeMat-Bulk.

Raw formation energy, eV per formula unit: 2.619
Fermi-level density of states, states/eV/f.u.: 2.56
Symmetry: P4/mmm (123)
Magnetization, μB per cell: 0.0

Lattice parameters (Å, degrees): 4.9407 4.9407 3.6864 90.00 90.00 90.00
With the nearest neighbours (Å) after each atom.
Positions (direct):
Cu  0.0000  0.0000  0.0000  8 Se 3.08
Re  0.5000  0.5000  0.5000  2 N 1.84
Se  0.0000  0.5000  0.5000  2 Re 2.47
Se  0.5000  0.0000  0.5000  2 Re 2.47
N  0.5000  0.5000  0.0000  2 Re 1.84

---

First-principles (PBEsol) data for an optimized crystal structure of Te3Pb, as listed in Alexandria via LeMat-Bulk.

Raw formation energy, eV per formula unit: 0.405
Fermi-level density of states, states/eV/f.u.: 2.28
Symmetry: Cmmm (65)
Magnetization, μB per cell: 0.0

Lattice parameters (Å, degrees): 3.1846 3.1846 11.9166 90.00 90.00 103.09
With the nearest neighbours (Å) after each atom.
Positions (direct):
Te  0.0000  0.0000  0.0000  4 Te 3.18
Te  0.5000  0.5000  0.2757  4 Te 3.18, 2 Pb 3.33
Te  0.5000  0.5000  0.7243  4 Te 3.18, 2 Pb 3.33
Pb  0.0000  0.0000  0.5000  4 Pb 3.18, 4 Te 3.33

---

First-principles (PBEsol) data for an optimized crystal structure of Zr2ZnRe, as listed in Alexandria via LeMat-Bulk.

Fermi-level density of states, states/eV/f.u.: 3.93
Symmetry: Cmm2 (35)
E_form, eV/f.u.: 0.5
Magnetization, μB per cell: 0.0

Lattice parameters (Å, degrees): 2.8341 2.8341 9.3488 90.00 90.00 109.95
With the nearest neighbours (Å) after each atom.
Positions (direct):
Zr  0.0000  0.0000  0.0000  2 Re 2.73, 4 Zr 2.83
Zr  0.5000  0.5000  0.2943  4 Zr 2.83, 2 Zn 2.87
Zn  0.0000  0.0000  0.5470  2 Re 2.61, 4 Zn 2.83, 2 Zr 2.87
Re  0.5000  0.5000  0.7658  2 Zn 2.61, 2 Zr 2.73, 4 Re 2.83

---

First-principles (PBEsol) data for an optimized crystal structure of TiGaSb2I, as listed in Alexandria via LeMat-Bulk.

Raw formation energy, eV per formula unit: 3.722
Fermi-level density of states, states/eV/f.u.: 6.77
Symmetry: P4/mmm (123)
Magnetization, μB per cell: 1.8

Lattice parameters (Å, degrees): 5.1487 5.1487 5.5177 90.00 90.00 90.00
With the nearest neighbours (Å) after each atom.
Positions (direct):
Ti  0.0000  0.0000  0.0000  4 I 3.64, 8 Sb 3.77
Ga  0.5000  0.5000  0.5000  4 Sb 2.57, 2 I 2.76
Sb  0.0000  0.5000  0.5000  2 Ga 2.57
Sb  0.5000  0.0000  0.5000  2 Ga 2.57
I  0.5000  0.5000  0.0000  2 Ga 2.76

---

First-principles (PBEsol) data for an optimized crystal structure of LaSc2Se, as listed in Alexandria via LeMat-Bulk.

Raw formation energy, eV per formula unit: -1.920
Fermi-level density of states, states/eV/f.u.: 4.89
Symmetry: I4/mmm (139)
Magnetization, μB per cell: 0.0

Lattice parameters (Å, degrees): 5.9016 5.9016 5.9016 137.22 137.22 62.10
With the nearest neighbours (Å) after each atom.
Positions (direct):
La  0.0000  0.0000  0.0000  4 Se 3.04, 8 Sc 3.32
Sc  0.2500  0.7500  0.5000  4 Sc 3.04, 4 La 3.32, 4 Se 3.32
Sc  0.7500  0.2500  0.5000  4 Sc 3.04, 4 La 3.32, 4 Se 3.32
Se  0.5000  0.5000  0.0000  4 La 3.04, 8 Sc 3.32

---

First-principles (PBEsol) data for an optimized crystal structure of TlOsPb2, as listed in Alexandria via LeMat-Bulk.

Energy relative to the lowest polymorph listed for this composition, eV/atom: 0.000
Fermi-level density of states, states/eV/f.u.: 2.63
Symmetry: P4mm (99)
E_form, eV/f.u.: 2.4
Magnetization, μB per cell: 0.0

Lattice parameters (Å, degrees): 3.2787 3.2787 8.6570 90.00 90.00 90.00
With the nearest neighbours (Å) after each atom.
Positions (direct):
Tl  0.0000  0.0000  0.0000  4 Os 2.87
Os  0.5000  0.5000  0.1950  4 Pb 2.86, 4 Tl 2.87
Pb  0.0000  0.0000  0.3890  4 Os 2.86
Pb  0.5000  0.5000  0.7081  8 Pb 3.28-3.61, 4 Tl 3.43

---

First-principles (PBEsol) data for an optimized crystal structure of CuSiMo2, as listed in Alexandria via LeMat-Bulk.

Raw formation energy, eV per formula unit: 0.530
Fermi-level density of states, states/eV/f.u.: 3.25
Symmetry: P4/mmm (123)
Magnetization, μB per cell: 0.0

Lattice parameters (Å, degrees): 2.6748 2.6748 7.5958 90.00 90.00 90.00
With the nearest neighbours (Å) after each atom.
Positions (direct):
Cu  0.0000  0.0000  0.0000  4 Cu 2.67, 8 Mo 2.69
Si  0.0000  0.0000  0.5000  8 Mo 2.67, 4 Si 2.67
Mo  0.5000  0.5000  0.2527  4 Si 2.67, 4 Mo 2.67, 4 Cu 2.69
Mo  0.5000  0.5000  0.7473  4 Si 2.67, 4 Mo 2.67, 4 Cu 2.69

---

First-principles (PBEsol) data for an optimized crystal structure of Tl2CoPt, as listed in Alexandria via LeMat-Bulk.

Fermi-level density of states, states/eV/f.u.: 3.79
Symmetry: Pmm2 (25)
E_form, eV/f.u.: 1.1
Magnetization, μB per cell: 2.1

Lattice parameters (Å, degrees): 2.9697 3.4068 7.7079 90.00 90.00 90.00
With the nearest neighbours (Å) after each atom.
Positions (direct):
Tl  0.0000  0.0000  0.0000  4 Co 2.93, 2 Tl 2.97, 1 Pt 2.99
Tl  0.5000  0.5000  0.3516  2 Tl 2.97, 4 Pt 3.02, 1 Co 3.13
Co  0.5000  0.5000  0.7576  4 Pt 2.52
Pt  0.0000  0.0000  0.6124  4 Co 2.52